Record 1
DFT (PBE) results for a geometry-optimized KCo3B structure.

Unit cell a=4.3643 b=4.3643 c=4.3643 alpha=90.00 beta=90.00 gamma=90.00
Positions (direct):
K (0.0000, 0.0000, 0.0000)
Co (0.0000, 0.0000, 0.5000)
Co (0.0000, 0.5000, 0.0000)
Co (0.5000, 0.0000, 0.0000)
B (0.5000, 0.5000, 0.5000)

## Properties
The calculation puts the total energy at -2.6262 eV/atom. Its space group is Pm-3m. The value obtained for the formation energy is 3.19 eV/atom.



Record 2
DFT (PBE) results for a geometry-optimized KCo3B structure.

Unit cell a=4.0571 b=4.0571 c=4.0571 alpha=90.00 beta=90.00 gamma=90.00
Positions (direct):
K (0.0000, 0.0000, 0.0000)
Co (0.0000, 0.5000, 0.5000)
Co (0.5000, 0.0000, 0.5000)
Co (0.5000, 0.5000, 0.0000)
B (0.5000, 0.5000, 0.5000)

## Properties
The calculation puts the total energy at -5.0987 eV/atom. Its space group is Pm-3m. The value obtained for the formation energy is 0.72 eV/atom.